Record 1
Density functional theory data (PBE) for MgCoSCl2 after structural relaxation.

Lattice parameters (Å, degrees): 4.6891 4.6891 5.1750 90.00 90.00 90.00
Space group P4/mmm (No. 123)
One atom of each set of equivalent atoms:
Mg  0.0000  0.0000  0.0000 x1
Co  0.5000  0.5000  0.5000 x1
S  0.0000  0.0000  0.5000 x1
Cl  0.0000  0.5000  0.0000 x2

E above lowest polymorph in meV/atom: 255
E_form (uncorrected) in eV per atom: -0.1078

---

Record 2
Density functional theory data (PBE) for VZn2Ag after structural relaxation.

Lattice parameters (Å, degrees): 4.8166 2.7850 9.2270 90.00 99.91 90.00
Space group Cm (No. 8)
One atom of each set of equivalent atoms:
V  0.0000  0.0000  0.0000 x2
Zn  0.0856  0.5000  0.7579 x2
Zn  0.2469  0.5000  0.2409 x2
Ag  0.1674  0.0000  0.5001 x2

ΔH_f (0 K) in eV per atom: 0.092

---

Record 3
Density functional theory data (PBE) for Rb2SnS4 after structural relaxation.

Lattice parameters (Å, degrees): 5.2334 5.2334 16.3929 90.00 90.00 90.00
Space group I4/mmm (No. 139)
One atom of each set of equivalent atoms:
Rb  0.0000  0.0000  0.1423 x4
Sn  0.0000  0.0000  0.5000 x2
S  0.0000  0.0000  0.3526 x4
S  0.0000  0.5000  0.0000 x4

E above lowest polymorph in meV/atom: 0
E_form (uncorrected) in eV per atom: -0.4413

---

| no. | E (eV/atom) |
| --- | --- |
| 1 | -3.412 |
| 2 | -3.537 |
| 3 | -3.648 |